This record from the Alexandria database describes crystalline LaCuAs at its relaxed geometry. The functional is PBE.

Energy relative to the elements, eV per atom: -0.3883
Total moment, μB per cell: 0.00

a = 5.909 Å, b = 5.616 Å, c = 3.705 Å
α = 75.59°, β = 67.01°, γ = 37.39°
Fractional coordinates of all 3 atoms:
Cu1 0.365 0.365 0.635
La1 0.664 0.664 0.336
As1 0.970 0.970 0.030

=====

This record from the Alexandria database describes crystalline CoGePd2Au at its relaxed geometry. The functional is PBE.

Energy relative to the elements, eV per atom: 1.1381
Total moment, μB per cell: 2.47

a = 5.007 Å, b = 4.593 Å, c = 5.007 Å
α = 90.00°, β = 90.00°, γ = 90.00°
Fractional coordinates of all 5 atoms:
Pd1 0.500 0.000 0.000
Co1 0.000 0.500 0.000
Au1 0.000 0.000 0.000
Ge1 0.500 0.500 0.500
Pd2 0.000 0.000 0.500

=====

This record from the Alexandria database describes crystalline PuRuRhPb at its relaxed geometry. The functional is PBE.

Energy relative to the elements, eV per atom: -0.1419
Total moment, μB per cell: 4.76

a = 4.759 Å, b = 4.759 Å, c = 4.759 Å
α = 60.00°, β = 60.00°, γ = 60.00°
Fractional coordinates of all 4 atoms:
Rh1 0.250 0.250 0.250
Ru1 0.750 0.750 0.750
Pu1 0.500 0.500 0.500
Pb1 0.000 0.000 0.000

=====

This record from the Alexandria database describes crystalline LiDyThNi at its relaxed geometry. The functional is PBE.

Energy relative to the elements, eV per atom: -0.0208
Total moment, μB per cell: 0.00

a = 4.991 Å, b = 4.991 Å, c = 4.991 Å
α = 60.00°, β = 60.00°, γ = 60.00°
Fractional coordinates of all 4 atoms:
Li1 0.750 0.750 0.750
Dy1 0.000 0.000 0.000
Th1 0.500 0.500 0.500
Ni1 0.250 0.250 0.250

=====

This record from the Alexandria database describes crystalline Dy4NiSe2S at its relaxed geometry. The functional is PBE.

Total moment, μB per cell: 0.00
Energy relative to the elements, uncorrected, eV/atom: -1.4742

a = 3.917 Å, b = 7.012 Å, c = 7.069 Å
α = 108.90°, β = 90.00°, γ = 90.00°
Fractional coordinates of all 8 atoms:
Ni1 0.500 0.500 0.000
Dy1 0.500 0.752 0.767
Se1 0.000 0.500 0.500
Se2 0.500 0.000 0.500
Dy2 0.000 0.269 0.777
Dy3 0.500 0.248 0.233
Dy4 0.000 0.731 0.223
S1 0.000 0.000 0.000

=====

This record from the Alexandria database describes crystalline TePdC3 at its relaxed geometry. The functional is PBE.

E above lowest polymorph, eV per atom: 0.386
Total moment, μB per cell: 0.00
Energy relative to the elements, uncorrected, eV/atom: 2.9662

a = 4.148 Å, b = 4.148 Å, c = 4.148 Å
α = 90.00°, β = 90.00°, γ = 90.00°
Fractional coordinates of all 5 atoms:
C1 0.000 0.500 0.000
Pd1 0.500 0.500 0.500
C2 0.000 0.000 0.500
Te1 0.000 0.000 0.000
C3 0.500 0.000 0.000

=====

This record from the Alexandria database describes crystalline Y2Al4Pt3Au at its relaxed geometry. The functional is PBE.

Energy relative to the elements, eV per atom: -1.0260
Total moment, μB per cell: 0.00

a = 4.227 Å, b = 4.227 Å, c = 10.581 Å
α = 90.00°, β = 90.00°, γ = 90.00°
Fractional coordinates of all 10 atoms:
Pt1 0.000 0.000 0.500
Al1 0.000 0.500 0.365
Y1 0.500 0.000 0.243
Pt2 0.500 0.000 0.866
Al2 0.000 0.000 0.000
Au1 0.500 0.500 0.500
Y2 0.000 0.500 0.757
Pt3 0.000 0.500 0.134
Al3 0.500 0.000 0.635
Al4 0.500 0.500 0.000

=====

This record from the Alexandria database describes crystalline Sn8Bi at its relaxed geometry. The functional is PBE.

E above lowest polymorph, eV per atom: 0.000
Energy relative to the elements, eV per atom: 0.0578
Total moment, μB per cell: 0.00

a = 3.378 Å, b = 8.805 Å, c = 8.805 Å
α = 87.89°, β = 78.94°, γ = 78.94°
Fractional coordinates of all 9 atoms:
Sn1 0.670 0.000 0.660
Sn2 0.670 0.660 0.000
Sn3 0.000 0.666 0.334
Sn4 0.334 0.666 0.666
Sn5 0.666 0.334 0.334
Sn6 0.330 0.000 0.340
Bi1 0.000 0.000 0.000
Sn7 0.000 0.334 0.666
Sn8 0.330 0.340 0.000

=====

This record from the Alexandria database describes crystalline YMnIn at its relaxed geometry. The functional is PBE.

Energy relative to the elements, eV per atom: -0.0590
Total moment, μB per cell: 2.79

a = 6.194 Å, b = 6.195 Å, c = 3.423 Å
α = 73.95°, β = 73.96°, γ = 32.08°
Fractional coordinates of all 3 atoms:
In1 0.978 0.978 0.022
Mn1 0.343 0.343 0.657
Y1 0.679 0.679 0.321

=====

This record from the Alexandria database describes crystalline MnTc2 at its relaxed geometry. The functional is PBE.

E above lowest polymorph, eV per atom: 0.110
Energy relative to the elements, eV per atom: 0.1103
Total moment, μB per cell: 4.47

a = 5.228 Å, b = 4.082 Å, c = 7.665 Å
α = 90.00°, β = 90.00°, γ = 90.00°
Fractional coordinates of all 12 atoms:
Tc1 0.678 0.250 0.938
Tc2 0.458 0.750 0.719
Tc3 0.958 0.750 0.781
Tc4 0.822 0.750 0.438
Mn1 0.698 0.250 0.612
Mn2 0.802 0.750 0.112
Mn3 0.302 0.750 0.388
Mn4 0.198 0.250 0.888
Tc5 0.042 0.250 0.219
Tc6 0.178 0.250 0.562
Tc7 0.322 0.750 0.062
Tc8 0.542 0.250 0.281

=====

This record from the Alexandria database describes crystalline TbNdTh2Sb5 at its relaxed geometry. The functional is PBE.

Total moment, μB per cell: 0.00
Energy relative to the elements, uncorrected, eV/atom: -0.1915

a = 5.273 Å, b = 5.273 Å, c = 11.637 Å
α = 90.00°, β = 90.00°, γ = 90.00°
Fractional coordinates of all 9 atoms:
Nd1 0.000 0.000 0.000
Th1 0.500 0.500 0.697
Sb1 0.500 0.500 0.000
Tb1 0.000 0.000 0.500
Sb2 0.000 0.500 0.500
Sb3 0.000 0.000 0.251
Sb4 0.500 0.000 0.500
Th2 0.500 0.500 0.303
Sb5 0.000 0.000 0.749

=====

This record from the Alexandria database describes crystalline Fe3Co at its relaxed geometry. The functional is PBE.

Energy relative to the elements, eV per atom: -0.0284
Total moment, μB per cell: 9.25

a = 4.714 Å, b = 4.714 Å, c = 4.714 Å
α = 117.01°, β = 117.01°, γ = 117.01°
Fractional coordinates of all 4 atoms:
Fe1 0.500 0.500 0.000
Fe2 0.000 0.500 0.500
Co1 0.000 0.000 0.000
Fe3 0.500 0.000 0.500